Density functional theory data (GGA+U) for MnCo2F5 after structural relaxation.

Cell: 3.0786 5.3774 12.6777 Å, 90.00 90.00 90.00°
Sites, in units of the cell vectors:
1 Mn 0.0000 0.1563 0.5000
2 Mn 0.5000 0.8437 0.0000
3 Co 0.5000 0.6344 0.3441
4 Co 0.0000 0.3656 0.1559
5 Co 0.5000 0.6344 0.6559
6 Co 0.0000 0.3656 0.8441
7 F 0.5000 0.9721 0.4009
8 F 0.0000 0.5469 0.0000
9 F 0.0000 0.0279 0.0991
10 F 0.5000 0.4531 0.5000
11 F 0.0000 0.0279 0.9009
12 F 0.5000 0.9721 0.5991
13 F 0.5000 0.6341 0.1782
14 F 0.5000 0.6341 0.8218
15 F 0.0000 0.3659 0.3219
16 F 0.0000 0.3659 0.6782

Results
VASP energy   -5.296 eV per atom
Total magnetization   20.035 μB/cell